1.
Here is a relaxed structure of PaCuPt2 from the Alexandria database. Energies are from PBE-GGA.

Cell: 4.713 4.713 4.713 Å, 60.00 60.00 60.00°
Positions (direct):
Pa 0.000 0.000 0.000
Cu 0.500 0.500 0.500
Pt 0.250 0.250 0.250
Pt 0.750 0.750 0.750

Computed properties:
Its energy of formation from the pure elements is -0.668 eV per atom. The excess energy over the best structure of this formula in the dataset is 0.081 eV/atom. The total magnetization comes out at 0.00 μB per formula unit. Its density is 15.36 g cm⁻³.

=====

2.
Here is a relaxed structure of Ca2Si2Pt5Au from the Alexandria database. Energies are from PBE-GGA.

Cell: 10.029 10.029 3.493 Å, 90.00 90.00 90.00°
Positions (direct):
Ca 0.176 0.324 0.000
Ca 0.324 0.824 0.000
Ca 0.676 0.176 0.000
Ca 0.824 0.676 0.000
Si 0.125 0.625 0.000
Si 0.375 0.125 0.000
Si 0.625 0.875 0.000
Si 0.875 0.375 0.000
Pt 0.000 0.500 0.500
Pt 0.064 0.787 0.500
Pt 0.213 0.064 0.500
Pt 0.287 0.564 0.500
Pt 0.436 0.287 0.500
Pt 0.500 0.000 0.500
Pt 0.564 0.713 0.500
Pt 0.713 0.436 0.500
Pt 0.787 0.936 0.500
Pt 0.936 0.213 0.500
Au 0.000 0.000 0.000
Au 0.500 0.500 0.000

Computed properties:
The total magnetization comes out at 0.00 μB per formula unit. Its density is 12.37 g cm⁻³. For the energy relative to the elements, uncorrected, the calculation gives -0.7718 eV per atom.